No. 1
Below is an optimized crystal structure of RbLaRe2C, with properties calculated at the PBE-GGA level.

DOS at the Fermi energy	3.9	states/eV/f.u.
ΔH_f (0 K)	0.868	eV/atom

Unit cell a=4.1528 b=5.5152 c=4.1528 alpha=90.00 beta=90.00 gamma=90.00
Fractional coordinates of all 5 atoms:
1 C 0.0000 0.0000 0.0000
2 Re 0.0000 0.0000 0.5000
3 Re 0.5000 0.0000 0.0000
4 La 0.5000 0.5000 0.5000
5 Rb 0.0000 0.5000 0.0000



No. 2
Below is an optimized crystal structure of RbLaTe2C, with properties calculated at the PBE-GGA level.

formation energy without anion corrections	83	kJ/mol of atoms
DOS at the Fermi energy	18.3	states/eV/f.u.

Unit cell a=6.0304 b=12.9807 c=6.0304 alpha=90.00 beta=90.00 gamma=90.00
Fractional coordinates of all 5 atoms:
1 La 0.0000 0.0000 0.0000
2 Te 0.0000 0.0000 0.5000
3 Te 0.5000 0.0000 0.0000
4 C 0.5000 0.5000 0.5000
5 Rb 0.0000 0.5000 0.0000



No. 3
Below is an optimized crystal structure of RbLa2YC, with properties calculated at the PBE-GGA level.

DOS at the Fermi energy	4.0	states/eV/f.u.
ΔH_f (0 K)	2.394	eV/atom

Unit cell a=5.5482 b=5.3369 c=5.5482 alpha=90.00 beta=90.00 gamma=90.00
Fractional coordinates of all 5 atoms:
1 Y 0.0000 0.5000 0.0000
2 C 0.5000 0.5000 0.5000
3 La 0.0000 0.0000 0.5000
4 La 0.5000 0.0000 0.0000
5 Rb 0.0000 0.0000 0.0000



No. 4
Below is an optimized crystal structure of LaReC2, with properties calculated at the PBE-GGA level.

DOS at the Fermi energy	1.2	states/eV/f.u.
ΔH_f (0 K)	1.225	eV/atom

Unit cell a=4.2198 b=4.2198 c=4.2198 alpha=60.00 beta=60.00 gamma=60.00
Fractional coordinates of all 4 atoms:
1 C 0.2500 0.2500 0.2500
2 C 0.7500 0.7500 0.7500
3 Re 0.5000 0.5000 0.5000
4 La 0.0000 0.0000 0.0000



no.,DFT total energy (eV/atom),calculated volume (Å³ per atom),total magnetic moment (μB per atom)
1,-7.135,19.0,0.000
2,-3.419,94.4,0.547
3,-2.908,32.9,0.000
4,-7.731,13.3,0.000